Compound: Sr2TlCr
Source: the Alexandria database
Functional: PBE
Structure: optimized geometry

As for the energy of formation: 3.70 kcal/mol of atoms. As for the space-group type: No. 38. Its total magnetization is 4.7 μB per formula unit.

```
Sr2TlCr
1.0
5.062 0.000 0.000
0.000 2.226 6.251
0.000 -2.226 6.251
Sr Tl Cr
2 1 1
Direct
0.000 0.000 0.000
0.500 0.294 0.294
0.500 0.582 0.582
0.000 0.707 0.707
```

=====

Compound: HgRu2Pt
Source: the Alexandria database
Functional: PBE
Structure: optimized geometry

As for the energy of formation: 5.04 kcal/mol of atoms. As for the space-group type: No. 160. Its total magnetization is 0.0 μB per formula unit.

```
HgRu2Pt
1.0
1.410 0.814 9.364
-1.410 0.814 9.364
0.000 -1.628 9.364
Hg Ru Pt
1 2 1
Direct
0.000 0.000 0.000
0.244 0.244 0.244
0.507 0.507 0.507
0.758 0.758 0.758
```